1.
{
  "formula": "Na6Cd10Ag",
  "functional": "PBE",
  "state": "optimized geometry",
  "spacegroup": "P-31m (162)",
  "m_tot_mub_per_fu": 0.0,
  "ef_kcal_per_mol_atoms": -0.28,
  "dos_at_fermi_per_ev_atom": 0.38,
  "cell": [[6.135, 0.000, 0.000], [0.000, 7.782, -4.493], [0.000, 0.000, 8.986]],
  "species": ["Na", "Na", "Na", "Na", "Na", "Na", "Cd", "Cd", "Cd", "Cd", "Cd", "Cd", "Cd", "Cd", "Cd", "Cd", "Ag"],
  "frac_coords": [[0.714, 0.385, 0.385], [0.714, 0.000, 0.615], [0.714, 0.615, 0.000], [0.286, 0.615, 0.615], [0.286, 0.000, 0.385], [0.286, 0.385, 0.000], [0.812, 0.754, 0.754], [0.812, 0.000, 0.246], [0.812, 0.246, 0.000], [0.188, 0.246, 0.246], [0.188, 0.000, 0.754], [0.188, 0.754, 0.000], [0.500, 0.333, 0.667], [0.500, 0.667, 0.333], [0.000, 0.667, 0.333], [0.000, 0.333, 0.667], [0.500, 0.000, 0.000]]
}



2.
{
  "formula": "GaAg3S3",
  "functional": "PBE",
  "state": "optimized geometry",
  "spacegroup": "Cmcm (63)",
  "m_tot_mub_per_fu": 0.0,
  "raw_formation_energy_mev_per_atom": -114,
  "dos_at_fermi_per_ev_atom": 0.18,
  "cell": [[5.212, 0.000, 0.000], [0.000, 8.620, -0.007], [0.000, -4.302, 7.470]],
  "species": ["Ga", "Ga", "Ag", "Ag", "Ag", "Ag", "Ag", "Ag", "S", "S", "S", "S", "S", "S"],
  "frac_coords": [[0.750, 0.333, 0.667], [0.250, 0.667, 0.333], [0.250, 0.641, 0.820], [0.250, 0.179, 0.359], [0.250, 0.180, 0.821], [0.750, 0.359, 0.180], [0.750, 0.821, 0.641], [0.750, 0.820, 0.179], [0.750, 0.630, 0.815], [0.750, 0.184, 0.370], [0.750, 0.185, 0.816], [0.250, 0.370, 0.185], [0.250, 0.816, 0.630], [0.250, 0.815, 0.184]]
}



3.
{
  "formula": "Sr2CdAsN",
  "functional": "PBE",
  "state": "optimized geometry",
  "spacegroup": "P4/mmm (123)",
  "m_tot_mub_per_fu": 0.0,
  "raw_formation_energy_mev_per_atom": -605,
  "dos_at_fermi_per_ev_atom": 0.12,
  "cell": [[-3.040, 4.244, -0.356], [-2.665, -1.555, 4.226], [2.785, 2.210, 2.570]],
  "species": ["Sr", "Sr", "As", "N", "Cd"],
  "frac_coords": [[0.000, 0.500, 0.000], [0.500, 0.000, 0.000], [0.500, 0.500, 0.500], [0.000, 0.000, 0.000], [0.000, 0.000, 0.500]]
}